[1]
The following is a DFT calculation (PBE) of crystalline Y5ScS6 at its relaxed geometry.

a = 6.7208 Å, b = 6.7259 Å, c = 6.7337 Å
α = 60.04°, β = 80.35°, γ = 70.39°
Closest atoms and distances in Å follow each position.
Positions (direct):
1 Y 0.5000 0.5000 0.0000  6 S 2.74-2.81
2 Y 0.5000 0.8296 0.3409  6 S 2.75-2.79
3 Y 0.5000 0.1704 0.6591  6 S 2.75-2.79
4 Y 0.0000 0.3331 0.3338  6 S 2.75-2.76
5 Y 0.0000 0.6669 0.6662  6 S 2.75-2.76
6 S 0.7535 0.7583 0.0000  1 Sc 2.68, 5 Y 2.76-2.81
7 S 0.7567 0.0809 0.3239  1 Sc 2.67, 5 Y 2.74-2.79
8 S 0.2465 0.2417 0.0000  1 Sc 2.68, 5 Y 2.76-2.81
9 S 0.2433 0.5951 0.3239  1 Sc 2.67, 5 Y 2.74-2.79
10 S 0.7567 0.4049 0.6761  1 Sc 2.67, 5 Y 2.74-2.79
11 S 0.2433 0.9191 0.6761  1 Sc 2.67, 5 Y 2.74-2.79
12 Sc 0.0000 0.0000 0.0000  6 S 2.67-2.68

Values from the calculation:
Symmetry   No. 12
E_form (uncorrected)   -189.9 kJ per mole of atoms

[2]
The following is a DFT calculation (PBE) of crystalline Y3Sc5S8 at its relaxed geometry.

a = 7.5619 Å, b = 7.5619 Å, c = 7.5653 Å
α = 60.01°, β = 60.01°, γ = 60.00°
Closest atoms and distances in Å follow each position.
Positions (direct):
1 S 0.2500 0.2500 0.7617  4 Sc 2.61-2.68, 2 Y 2.74
2 S 0.2617 0.7500 0.2383  4 Sc 2.61-2.68, 2 Y 2.74
3 S 0.7441 0.7441 0.7676  3 Sc 2.61, 3 Y 2.74
4 S 0.2500 0.7383 0.7617  4 Sc 2.61-2.68, 2 Y 2.74
5 S 0.7500 0.2617 0.2383  4 Sc 2.61-2.68, 2 Y 2.74
6 S 0.2559 0.2559 0.2324  3 Sc 2.61, 3 Y 2.74
7 S 0.7383 0.2500 0.7617  4 Sc 2.61-2.68, 2 Y 2.74
8 S 0.7500 0.7500 0.2383  4 Sc 2.61-2.68, 2 Y 2.74
9 Sc 0.5000 0.5000 0.5000  6 S 2.68
10 Sc 0.0000 0.0000 0.0000  6 S 2.68
11 Sc 0.5000 0.0000 0.0000  6 S 2.61
12 Sc 0.5000 0.5000 0.0000  6 S 2.61
13 Sc 0.0000 0.5000 0.0000  6 S 2.61
14 Y 0.0000 0.0000 0.5000  6 S 2.74
15 Y 0.0000 0.5000 0.5000  6 S 2.74
16 Y 0.5000 0.0000 0.5000  6 S 2.74

Values from the calculation:
Symmetry   No. 166
E_form (uncorrected)   -183.1 kJ per mole of atoms

[3]
The following is a DFT calculation (PBE) of crystalline Y2ScS2 at its relaxed geometry.

a = 8.0539 Å, b = 8.0539 Å, c = 3.4333 Å
α = 90.00°, β = 90.00°, γ = 90.00°
Closest atoms and distances in Å follow each position.
Positions (direct):
1 Y 0.1503 0.3497 0.0000  6 S 2.87-2.95, 2 Sc 3.07
2 Y 0.3497 0.8497 0.0000  6 S 2.87-2.95, 2 Sc 3.07
3 Y 0.6503 0.1503 0.0000  6 S 2.87-2.95, 2 Sc 3.07
4 Y 0.8497 0.6503 0.0000  6 S 2.87-2.95, 2 Sc 3.07
5 S 0.1473 0.6473 0.5000  6 Y 2.87-2.95
6 S 0.6473 0.8527 0.5000  6 Y 2.87-2.95
7 S 0.8527 0.3527 0.5000  6 Y 2.87-2.95
8 S 0.3527 0.1473 0.5000  6 Y 2.87-2.95
9 Sc 0.0000 0.0000 0.0000  4 Y 3.07
10 Sc 0.5000 0.5000 0.0000  4 Y 3.07

Values from the calculation:
Symmetry   No. 127
E above lowest polymorph   119 meV per atom
E_form (uncorrected)   -77.6 kJ per mole of atoms

[4]
The following is a DFT calculation (PBE) of crystalline YScS3 at its relaxed geometry.

a = 4.8390 Å, b = 4.8390 Å, c = 4.8390 Å
α = 90.00°, β = 90.00°, γ = 90.00°
Closest atoms and distances in Å follow each position.
Positions (direct):
1 S 0.0000 0.0000 0.5000  2 Sc 2.42
2 S 0.0000 0.5000 0.0000  2 Sc 2.42
3 S 0.5000 0.0000 0.0000  2 Sc 2.42
4 Y 0.5000 0.5000 0.5000  12 S 3.42
5 Sc 0.0000 0.0000 0.0000  6 S 2.42

Values from the calculation:
Symmetry   No. 221
E_form (uncorrected)   -133.8 kJ per mole of atoms